(1)
VASP calculation (PBE) on a relaxed structure of Cu2TePd6.

Lattice parameters (Å, degrees): 12.573 9.510 4.795 90.00 98.43 90.00
Space group C2/c (No. 15)
One atom of each set of equivalent atoms:
Cu 0.168 0.119 0.086 [8 per cell]
Te 0.000 0.357 0.250 [4 per cell]
Pd 0.057 0.119 0.527 [8 per cell]
Pd 0.117 0.363 0.818 [8 per cell]
Pd 0.226 0.377 0.358 [8 per cell]

Summary:
* uncorrected energy: -0.3545 Ry per atom
* uncorrected formation energy: -0.102 eV per atom

(2)
VASP calculation (PBE) on a relaxed structure of PrCuCl5.

Lattice parameters (Å, degrees): 7.327 13.166 8.515 90.00 103.08 90.00
Space group C2/c (No. 15)
One atom of each set of equivalent atoms:
Pr 0.000 0.041 0.250 [4 per cell]
Cu 0.000 0.500 0.000 [4 per cell]
Cl 0.000 0.432 0.250 [4 per cell]
Cl 0.114 0.113 0.973 [8 per cell]
Cl 0.166 0.363 0.608 [8 per cell]

Summary:
* uncorrected energy: -0.2973 Ry per atom
* uncorrected formation energy: -1.458 eV per atom

(3)
VASP calculation (PBE) on a relaxed structure of BaReNi4.

Lattice parameters (Å, degrees): 7.184 7.184 7.184 90.00 90.00 90.00
Space group F-43m (No. 216)
One atom of each set of equivalent atoms:
Ba 0.000 0.000 0.000 [4 per cell]
Re 0.250 0.250 0.250 [4 per cell]
Ni 0.123 0.123 0.623 [16 per cell]

Summary:
* ΔH_f (0 K): 668.8 meV/atom
* uncorrected energy: -0.4102 Ry per atom

(4)
VASP calculation (PBE) on a relaxed structure of La8CSe3I4.

Lattice parameters (Å, degrees): 8.5932 8.5932 23.2869 90.00 90.00 120.00
Space group R-3m (No. 166, hexagonal axes)
One atom of each set of equivalent atoms:
La 0.0000 0.0000 0.2351 [6 per cell]
La 0.0372 0.5186 0.2299 [18 per cell]
C 0.0000 0.0000 0.5000 [3 per cell]
Se 0.0000 0.5000 0.5000 [9 per cell]
I 0.0000 0.0000 0.0000 [3 per cell]
I 0.0000 0.5000 0.0000 [9 per cell]

Summary:
* uncorrected energy: -0.3971 Ry per atom
* uncorrected formation energy: -1.322 eV per atom

(5)
VASP calculation (PBE) on a relaxed structure of TiCr4B2.

Lattice parameters (Å, degrees): 3.663 13.556 2.964 90.00 90.00 90.00
Space group Cmmm (No. 65)
One atom of each set of equivalent atoms:
Ti 0.000 0.000 0.000 [2 per cell]
Cr 0.000 0.169 0.500 [4 per cell]
Cr 0.000 0.324 0.000 [4 per cell]
B 0.000 0.437 0.500 [4 per cell]

Summary:
* ΔH_f (0 K): -316.0 meV/atom
* uncorrected energy: -0.6505 Ry per atom

(6)
VASP calculation (PBE) on a relaxed structure of TbPr5N4.

Lattice parameters (Å, degrees): 15.951 3.624 7.514 90.00 102.87 90.00
Space group C2/m (No. 12)
One atom of each set of equivalent atoms:
Tb 0.000 0.000 0.000 [2 per cell]
Pr 0.000 0.000 0.500 [2 per cell]
Pr 0.157 0.500 0.304 [4 per cell]
Pr 0.163 0.500 0.848 [4 per cell]
N 0.001 0.500 0.237 [4 per cell]
N 0.161 0.000 0.079 [4 per cell]

Summary:
* uncorrected energy: -0.5331 Ry per atom
* uncorrected formation energy: -1.070 eV per atom

(7)
VASP calculation (PBE) on a relaxed structure of ErN2Cl4.

Lattice parameters (Å, degrees): 15.911 3.884 6.376 90.00 97.19 90.00
Space group C2/m (No. 12)
One atom of each set of equivalent atoms:
Er 0.000 0.000 0.000 [2 per cell]
N 0.198 0.500 0.744 [4 per cell]
Cl 0.072 0.000 0.643 [4 per cell]
Cl 0.102 0.500 0.149 [4 per cell]

Summary:
* uncorrected energy: -0.2795 Ry per atom
* uncorrected formation energy: 0.283 eV per atom

(8)
VASP calculation (PBE) on a relaxed structure of AsIr2Ru.

Lattice parameters (Å, degrees): 3.931 3.931 7.624 90.00 90.00 90.00
Space group I4/mmm (No. 139)
One atom of each set of equivalent atoms:
As 0.000 0.000 0.000 [2 per cell]
Ir 0.000 0.500 0.250 [4 per cell]
Ru 0.000 0.000 0.500 [2 per cell]

Summary:
* ΔH_f (0 K): 236.2 meV/atom
* uncorrected energy: -0.5641 Ry per atom